Computed, not measured: a relaxed structure of SnP2Cl at the PBE level of DFT.

Output
ρ ... 4.7 g cm⁻³
Uncorrected energy ... -3.6329 eV per atom
E above lowest polymorph ... 0 meV/atom
Space-group type ... No. 225
Uncorrected formation energy ... 0.53 eV per atom
Calculated volume ... 18.92 Å³ per atom

Lattice parameters (Å, degrees): 4.7475 4.7475 4.7475 60.00 60.00 60.00
Positions (direct):
1 Sn 0.0000 0.0000 0.0000
2 P 0.2500 0.2500 0.2500
3 P 0.7500 0.7500 0.7500
4 Cl 0.5000 0.5000 0.5000